Record 1
The following is a DFT calculation (GGA-PBE) of an optimized crystal structure of SnGe2Sb2Au7.

The calculation puts the total energy at -88.77 eV/cell. The total moment comes out at 0.0 Bohr magnetons per cell. The raw formation energy comes out at 0.00 eV/atom.

The space group is C2/m (No. 12) and the conventional cell measures 5.9037, 5.8990 and 15.9879 Å, with angles of 90.00, 100.49 and 90.00 degrees. The distinct sites, in fractional coordinates, are Sn at (0.0000, 0.0000, 0.0000), Ge at (0.1178, 0.5000, 0.2436), Sb at (0.2095, 0.0000, 0.4224), Au at (0.0000, 0.5000, 0.0000), Au at (0.1800, 0.2499, 0.8545) and Au at (0.2003, 0.5000, 0.4042).


Record 2
The following is a DFT calculation (GGA-PBE) of an optimized crystal structure of SnGeSb2Au4.

The calculation puts the total energy at -30.23 eV/cell. The total moment comes out at 0.0 Bohr magnetons per cell. The raw formation energy comes out at -0.03 eV/atom.

The space group is P2/m (No. 10) and the conventional cell measures 6.7415, 3.9205 and 7.2878 Å, with angles of 90.00, 108.58 and 90.00 degrees. The distinct sites, in fractional coordinates, are Sn at (0.0000, 0.0000, 0.0000), Ge at (0.0000, 0.5000, 0.5000), Sb at (0.5000, 0.0000, 0.5000), Sb at (0.5000, 0.5000, 0.0000), Au at (0.2346, 0.0000, 0.7357) and Au at (0.2412, 0.5000, 0.2566).


Record 3
The following is a DFT calculation (GGA-PBE) of an optimized crystal structure of Sr2GeSb3Au4.

The calculation puts the total energy at -38.70 eV/cell. The total moment comes out at 0.0 Bohr magnetons per cell. The raw formation energy comes out at -0.52 eV/atom.

The space group is P-4m2 (No. 115) and the conventional cell measures 4.7215, 4.7215 and 11.4379 Å, with angles of 90.00, 90.00 and 90.00 degrees. The distinct sites, in fractional coordinates, are Sr at (0.0000, 0.5000, 0.2438), Ge at (0.0000, 0.0000, 0.5000), Sb at (0.0000, 0.5000, 0.8659), Sb at (0.5000, 0.5000, 0.5000), Au at (0.0000, 0.0000, 0.0000), Au at (0.0000, 0.5000, 0.6300) and Au at (0.5000, 0.5000, 0.0000).


Record 4
The following is a DFT calculation (GGA-PBE) of an optimized crystal structure of Sr2GeSbAu.

The calculation puts the total energy at -15.64 eV/cell. The total moment comes out at 1.9 Bohr magnetons per cell. The raw formation energy comes out at -0.05 eV/atom.

The space group is P4/mmm (No. 123) and the conventional cell measures 6.2882, 6.2882 and 5.1280 Å, with angles of 90.00, 90.00 and 90.00 degrees. The distinct sites, in fractional coordinates, are Sr at (0.0000, 0.5000, 0.0000), Ge at (0.0000, 0.0000, 0.5000), Sb at (0.5000, 0.5000, 0.0000) and Au at (0.5000, 0.5000, 0.5000).


Record 5
The following is a DFT calculation (GGA-PBE) of an optimized crystal structure of TcGeSb2Au.

The calculation puts the total energy at -20.48 eV/cell. The total moment comes out at 3.2 Bohr magnetons per cell. The raw formation energy comes out at 1.20 eV/atom.

The space group is P4/mmm (No. 123) and the conventional cell measures 5.4490, 5.4490 and 4.7762 Å, with angles of 90.00, 90.00 and 90.00 degrees. The distinct sites, in fractional coordinates, are Tc at (0.0000, 0.0000, 0.0000), Ge at (0.5000, 0.5000, 0.0000), Sb at (0.0000, 0.5000, 0.5000) and Au at (0.5000, 0.5000, 0.5000).


Record 6
The following is a DFT calculation (GGA-PBE) of an optimized crystal structure of GeSb2TeAu.

The calculation puts the total energy at -15.83 eV/cell. The total moment comes out at 0.0 Bohr magnetons per cell. The raw formation energy comes out at 0.69 eV/atom. For the energy above the most stable polymorph in this dataset, the calculation gives 0.000 eV/atom.

The space group is P4/mmm (No. 123) and the conventional cell measures 5.3421, 5.3421 and 5.5303 Å, with angles of 90.00, 90.00 and 90.00 degrees. The distinct sites, in fractional coordinates, are Ge at (0.0000, 0.0000, 0.0000), Sb at (0.0000, 0.5000, 0.5000), Te at (0.5000, 0.5000, 0.0000) and Au at (0.5000, 0.5000, 0.5000).


Record 7
The following is a DFT calculation (GGA-PBE) of an optimized crystal structure of GeSb2TeAu.

The calculation puts the total energy at -15.45 eV/cell. The total moment comes out at 0.0 Bohr magnetons per cell. The raw formation energy comes out at 0.77 eV/atom. For the energy above the most stable polymorph in this dataset, the calculation gives 0.076 eV/atom.

The space group is P4/mmm (No. 123) and the conventional cell measures 5.3468, 5.3468 and 5.2904 Å, with angles of 90.00, 90.00 and 90.00 degrees. The distinct sites, in fractional coordinates, are Ge at (0.0000, 0.0000, 0.0000), Sb at (0.0000, 0.5000, 0.0000), Te at (0.0000, 0.0000, 0.5000) and Au at (0.5000, 0.5000, 0.5000).


Record 8
The following is a DFT calculation (GGA-PBE) of an optimized crystal structure of GeSbTeAu.

The calculation puts the total energy at -88.93 eV/cell. The total moment comes out at 0.0 Bohr magnetons per cell. The raw formation energy comes out at 0.08 eV/atom.

The space group is R-3m (No. 166, hexagonal axes) and the conventional cell measures 4.7542, 4.7542 and 35.8525 Å, with angles of 90.00, 90.00 and 120.00 degrees. The distinct sites, in fractional coordinates, are Ge at (0.0000, 0.0000, 0.0915), Sb at (0.0000, 0.0000, 0.2919), Te at (0.0000, 0.0000, 0.2092) and Au at (0.0000, 0.0000, 0.3793).


Record 9
The following is a DFT calculation (GGA-PBE) of an optimized crystal structure of Tl2GeSbAu6.

The calculation puts the total energy at -66.45 eV/cell. The total moment comes out at 0.0 Bohr magnetons per cell. The raw formation energy comes out at -0.01 eV/atom.

The space group is Pmmn (No. 59, origin choice 2) and the conventional cell measures 7.0403, 8.1820 and 8.6692 Å, with angles of 90.00, 90.00 and 90.00 degrees. The distinct sites, in fractional coordinates, are Tl at (0.2500, 0.0064, 0.2101), Ge at (0.2500, 0.2500, 0.7448), Sb at (0.2500, 0.7500, 0.8207), Au at (0.0396, 0.2500, 0.9843), Au at (0.0448, 0.7500, 0.4266) and Au at (0.2500, 0.5143, 0.5943).


Record 10
The following is a DFT calculation (GGA-PBE) of an optimized crystal structure of Tl2GeSbAu4.

The calculation puts the total energy at -52.97 eV/cell. The total moment comes out at 0.0 Bohr magnetons per cell. The raw formation energy comes out at 0.01 eV/atom.

The space group is Pmn2_1 (No. 31) and the conventional cell measures 9.5229, 6.3459 and 6.8629 Å, with angles of 90.00, 90.00 and 90.00 degrees. The distinct sites, in fractional coordinates, are Tl at (0.2261, 0.2286, 0.0000), Ge at (0.0000, 0.7919, 0.9157), Sb at (0.0000, 0.1485, 0.4324), Au at (0.0000, 0.5037, 0.2011), Au at (0.0000, 0.5329, 0.6384) and Au at (0.2426, 0.7291, 0.0657).


Record 11
The following is a DFT calculation (GGA-PBE) of an optimized crystal structure of Zn2GeSbAu.

The calculation puts the total energy at -12.52 eV/cell. The total moment comes out at 0.0 Bohr magnetons per cell. The raw formation energy comes out at 0.41 eV/atom.

The space group is P4/mmm (No. 123) and the conventional cell measures 4.6914, 4.6914 and 5.2413 Å, with angles of 90.00, 90.00 and 90.00 degrees. The distinct sites, in fractional coordinates, are Zn at (0.0000, 0.5000, 0.0000), Ge at (0.0000, 0.0000, 0.0000), Sb at (0.5000, 0.5000, 0.5000) and Au at (0.0000, 0.0000, 0.5000).


Record 12
The following is a DFT calculation (GGA-PBE) of an optimized crystal structure of ScGeAu.

Its formation enthalpy at 0 K is -0.540 eV/atom. The calculation puts the total energy at -31.69 eV/cell. The total moment comes out at 0.0 Bohr magnetons per cell.

The space group is P1 (No. 1) and the conventional cell measures 4.1767, 5.0653 and 5.9464 Å, with angles of 85.47, 89.90 and 65.71 degrees. The distinct sites, in fractional coordinates, are Sc at (0.0000, 0.0000, 0.0000), Sc at (0.3608, 0.2787, 0.5863), Ge at (0.0573, 0.8852, 0.5267), Ge at (0.6871, 0.6255, 0.8164), Au at (0.3135, 0.3731, 0.0990) and Au at (0.6360, 0.7278, 0.2962).


Copy entry 7 word for word.
The following is a DFT calculation (GGA-PBE) of an optimized crystal structure of GeSb2TeAu.

The calculation puts the total energy at -15.45 eV/cell. The total moment comes out at 0.0 Bohr magnetons per cell. The raw formation energy comes out at 0.77 eV/atom. For the energy above the most stable polymorph in this dataset, the calculation gives 0.076 eV/atom.

The space group is P4/mmm (No. 123) and the conventional cell measures 5.3468, 5.3468 and 5.2904 Å, with angles of 90.00, 90.00 and 90.00 degrees. The distinct sites, in fractional coordinates, are Ge at (0.0000, 0.0000, 0.0000), Sb at (0.0000, 0.5000, 0.0000), Te at (0.0000, 0.0000, 0.5000) and Au at (0.5000, 0.5000, 0.5000).


Which formula does entry 1 have?
SnGe2Sb2Au7


What is the formula in the second record?
SnGeSb2Au4